The following is a DFT calculation (GGA-PBE) of a relaxed Sr2PtN2 crystal.

Lattice parameters (Å, degrees): 5.3256 5.3256 5.3256 123.38 123.38 84.24
Atoms (fractional coordinates):
Sr (0.2500, 0.7500, 0.5000)
Sr (0.7500, 0.2500, 0.5000)
Pt (0.0000, 0.0000, 0.0000)
N (0.4202, 0.4202, 0.0000)
N (0.5798, 0.5798, 0.0000)

Properties
The value obtained for the formation energy from raw total energies is -270 meV/atom. The calculation puts the total energy at -5.48 eV/atom.